Record 1
Compound: EuScGa2
Source: Alexandria via LeMat-Bulk
Functional: PBE
Structure: optimized geometry

```
EuScGa2
1.0
-1.8343 3.0296 0.1469
-2.5125 -1.4215 -2.0571
-3.4088 -2.3444 5.7835
Ga Sc Eu
2 1 1
direct
0.0000 0.0000 0.7903 Ga
0.0000 0.0000 0.2097 Ga
0.5000 0.5000 0.0000 Sc
0.5000 0.5000 0.5000 Eu
```

Energy (eV per atom): -6.20
Formation energy (eV per atom): -0.536
Symmetry: P4/mmm, No. 123

Record 2
Compound: EuSc2Ga
Source: Alexandria via LeMat-Bulk
Functional: PBE
Structure: optimized geometry

```
EuSc2Ga
1.0
3.3470 0.0000 0.0000
0.0000 3.3470 0.0000
0.0000 0.0000 8.8896
Eu Ga Sc
1 1 2
direct
0.5000 0.5000 0.5000 Eu
0.5000 0.5000 0.0000 Ga
0.0000 0.0000 0.1917 Sc
0.0000 0.0000 0.8083 Sc
```

Energy (eV per atom): -6.70
Formation energy (eV per atom): -0.214
Symmetry: P4/mmm, No. 123

Record 3
Compound: EuSc2Ga
Source: Alexandria via LeMat-Bulk
Functional: PBE
Structure: optimized geometry

```
EuSc2Ga
1.0
-3.9895 -2.9566 -1.1210
-0.8792 -1.3670 -4.8241
0.7353 -4.8238 -1.4530
Ga Sc Eu
1 2 1
direct
0.5000 0.5000 0.5000 Ga
0.7501 0.7501 0.7498 Sc
0.2499 0.2499 0.2502 Sc
0.0000 0.0000 0.0000 Eu
```

Energy (eV per atom): -6.54
Formation energy (eV per atom): -0.053
Symmetry: Fm-3m, No. 225

Record 4
Compound: EuScGaSn
Source: Alexandria via LeMat-Bulk
Functional: PBE
Structure: optimized geometry

```
EuScGaSn
1.0
-2.7784 -3.8214 -2.0838
-2.8275 -3.0837 3.0268
-5.1537 0.3095 -0.0941
Ga Sc Eu Sn
1 1 1 1
direct
0.7500 0.7500 0.7500 Ga
0.5000 0.5000 0.5000 Sc
0.0000 0.0000 0.0000 Eu
0.2500 0.2500 0.2500 Sn
```

Energy (eV per atom): -6.39
Formation energy (eV per atom): -0.483
Symmetry: F-43m, No. 216

Record 5
Compound: EuGa2Se4
Source: Alexandria via LeMat-Bulk
Functional: PBE
Structure: optimized geometry

```
EuGa2Se4
1.0
-5.1048 -1.2200 3.4919
4.6469 -4.2497 -0.2958
4.8135 4.6602 8.6651
Eu Se Ga
2 8 4
direct
0.5000 0.5000 0.2500 Eu
0.5000 0.5000 0.7500 Eu
0.3497 0.1914 0.5000 Se
0.5000 0.0000 0.1714 Se
0.1914 0.3497 0.0000 Se
0.5000 0.0000 0.8286 Se
0.6503 0.8086 0.5000 Se
0.0000 0.5000 0.3286 Se
0.8086 0.6503 0.0000 Se
0.0000 0.5000 0.6714 Se
0.2386 0.7645 0.0000 Ga
0.7645 0.2386 0.5000 Ga
0.2355 0.7614 0.5000 Ga
0.7614 0.2355 0.0000 Ga
```

Energy (eV per atom): -5.35
Symmetry: Cccm, No. 66
E_form (uncorrected) (meV per atom): -1028

Record 6
Compound: Eu3Ga5Se12
Source: Alexandria via LeMat-Bulk
Functional: PBE
Structure: optimized geometry

```
Eu3Ga5Se12
1.0
13.9351 0.0000 0.0000
-4.6450 13.1382 0.0000
-4.6450 -6.5691 11.3780
Ga Se Eu
20 48 12
direct
0.0000 0.0000 0.5000 Ga
0.7500 0.6250 0.3750 Ga
0.5000 0.5000 0.5000 Ga
0.6250 0.8750 0.2500 Ga
0.3750 0.1250 0.7500 Ga
0.0000 0.5000 0.5000 Ga
0.8750 0.6250 0.7500 Ga
0.1250 0.3750 0.2500 Ga
0.0000 0.0000 0.0000 Ga
0.5000 0.0000 0.0000 Ga
0.1250 0.7500 0.3750 Ga
0.6250 0.7500 0.8750 Ga
0.5000 0.5000 0.0000 Ga
0.8750 0.2500 0.6250 Ga
0.2500 0.8750 0.1250 Ga
0.7500 0.1250 0.8750 Ga
0.5000 0.0000 0.5000 Ga
0.3750 0.2500 0.1250 Ga
0.0000 0.5000 0.0000 Ga
0.2500 0.3750 0.6250 Ga
0.9127 0.0898 0.6209 Se
0.5873 0.7082 0.6771 Se
0.8229 0.9102 0.0311 Se
0.4689 0.6771 0.0898 Se
0.1771 0.0898 0.9689 Se
0.4102 0.3791 0.5873 Se
0.5311 0.2082 0.1209 Se
0.0898 0.1771 0.4689 Se
0.1209 0.7082 0.5311 Se
0.5311 0.3229 0.9102 Se
0.3791 0.9689 0.7918 Se
0.2082 0.6771 0.0873 Se
0.3229 0.5311 0.4102 Se
0.5898 0.9689 0.6771 Se
0.9127 0.8229 0.7918 Se
0.2918 0.4127 0.8229 Se
0.9689 0.3791 0.2918 Se
0.7918 0.3229 0.9127 Se
0.5873 0.8791 0.4102 Se
0.8229 0.9127 0.2918 Se
0.3791 0.4102 0.0873 Se
0.4127 0.2918 0.3229 Se
0.9102 0.8229 0.5311 Se
0.1209 0.4127 0.0898 Se
0.4102 0.0311 0.3229 Se
0.4689 0.7918 0.8791 Se
0.0898 0.9127 0.1209 Se
0.9689 0.5898 0.1771 Se
0.2082 0.5311 0.6209 Se
0.7918 0.4689 0.3791 Se
0.5898 0.6209 0.4127 Se
0.1771 0.0873 0.7082 Se
0.3229 0.7918 0.4127 Se
0.6771 0.4689 0.5898 Se
0.7082 0.5873 0.1771 Se
0.0873 0.1771 0.2082 Se
0.7082 0.1209 0.0311 Se
0.9102 0.0873 0.8791 Se
0.8791 0.2918 0.4689 Se
0.0311 0.6209 0.7082 Se
0.8791 0.5873 0.9102 Se
0.2918 0.8791 0.9689 Se
0.6771 0.2082 0.5873 Se
0.6209 0.5898 0.9127 Se
0.0311 0.4102 0.8229 Se
0.0873 0.9102 0.3791 Se
0.6209 0.0311 0.2082 Se
0.4127 0.1209 0.5898 Se
0.3750 0.6250 0.2500 Eu
0.2500 0.1250 0.3750 Eu
0.8750 0.7500 0.1250 Eu
0.7500 0.3750 0.1250 Eu
0.3750 0.7500 0.6250 Eu
0.6250 0.3750 0.7500 Eu
0.2500 0.6250 0.8750 Eu
0.6250 0.2500 0.3750 Eu
0.1250 0.2500 0.8750 Eu
0.7500 0.8750 0.6250 Eu
0.1250 0.8750 0.7500 Eu
0.8750 0.1250 0.2500 Eu
```

Energy (eV per atom): -5.28
Symmetry: Ia-3d, No. 230
E_form (uncorrected) (meV per atom): -892

Record 7
Compound: EuGa2Si
Source: Alexandria via LeMat-Bulk
Functional: PBE
Structure: optimized geometry

```
EuGa2Si
1.0
4.2732 0.0000 0.0000
2.1366 3.7007 0.0000
2.1366 1.2336 5.5510
Ga Eu Si
2 1 1
direct
0.2789 0.2789 0.1633 Ga
0.7211 0.7211 0.8367 Ga
0.5000 0.5000 0.5000 Eu
0.0000 0.0000 0.0000 Si
```

Energy (eV per atom): -5.72
Symmetry: R-3m, No. 166
E_form (uncorrected) (meV per atom): -278

Record 8
Compound: Sm2EuGa
Source: Alexandria via LeMat-Bulk
Functional: PBE
Structure: optimized geometry

```
Sm2EuGa
1.0
-2.3934 2.7720 2.9885
-3.8914 -0.1331 -2.9930
-1.6711 -3.9757 2.3495
Sm Ga Eu
2 1 1
direct
0.0000 0.5000 0.0000 Sm
0.0000 0.0000 0.5000 Sm
0.5000 0.0000 0.0000 Ga
0.5000 0.5000 0.5000 Eu
```

Energy (eV per atom): -5.86
Formation energy (eV per atom): -0.179
Symmetry: P4/mmm, No. 123

What did the third record say?
Compound: EuSc2Ga
Source: Alexandria via LeMat-Bulk
Functional: PBE
Structure: optimized geometry

```
EuSc2Ga
1.0
-3.9895 -2.9566 -1.1210
-0.8792 -1.3670 -4.8241
0.7353 -4.8238 -1.4530
Ga Sc Eu
1 2 1
direct
0.5000 0.5000 0.5000 Ga
0.7501 0.7501 0.7498 Sc
0.2499 0.2499 0.2502 Sc
0.0000 0.0000 0.0000 Eu
```

Energy (eV per atom): -6.54
Formation energy (eV per atom): -0.053
Symmetry: Fm-3m, No. 225